DFT (GGA-PBE) results for a relaxed CaNiPd2Pt crystal.

- Crystal system: tetragonal
- Calculated volume: 20.19 Å³ per atom
- SG: P4/mmm, No. 123
- E: -3.658 eV per atom

a = 4.7540 Å, b = 4.4657 Å, c = 4.7540 Å
α = 90.00°, β = 90.00°, γ = 90.00°
With the nearest neighbours (Å) after each atom.
Sites, in units of the cell vectors:
Pt1 0.5000 0.5000 0.5000  8 Pd 3.26, 4 Ni 3.36
Pd1 0.0000 0.0000 0.5000  2 Ca 2.38
Pd2 0.5000 0.0000 0.0000  2 Ca 2.38
Ni1 0.0000 0.5000 0.0000  2 Ca 2.23
Ca1 0.0000 0.0000 0.0000  2 Ni 2.23, 4 Pd 2.38

***

DFT (GGA-PBE) results for a relaxed CrCu2ReAs crystal.

- Crystal system: tetragonal
- Calculated volume: 16.67 Å³ per atom
- SG: P4/mmm, No. 123
- E: -5.600 eV per atom

a = 4.3220 Å, b = 4.4627 Å, c = 4.3220 Å
α = 90.00°, β = 90.00°, γ = 90.00°
With the nearest neighbours (Å) after each atom.
Sites, in units of the cell vectors:
Cu1 0.5000 0.0000 0.0000  2 As 2.16
Cu2 0.0000 0.0000 0.5000  2 As 2.16
As1 0.0000 0.0000 0.0000  4 Cu 2.16, 2 Cr 2.23
Cr1 0.0000 0.5000 0.0000  2 As 2.23
Re1 0.5000 0.5000 0.5000  4 Cr 3.06, 8 Cu 3.11

***

DFT (GGA-PBE) results for a relaxed SrAg3I crystal.

- Crystal system: cubic
- Calculated volume: 41.31 Å³ per atom
- SG: Pm-3m, No. 221
- Energy above the lowest structure with this stoichiometry: 155 kJ/mol of formula units
- Raw formation energy: 0.77 eV per atom

a = 5.9111 Å, b = 5.9111 Å, c = 5.9111 Å
α = 90.00°, β = 90.00°, γ = 90.00°
With the nearest neighbours (Å) after each atom.
Sites, in units of the cell vectors:
Ag1 0.0000 0.0000 0.5000  2 Sr 2.96
Ag2 0.5000 0.0000 0.0000  2 Sr 2.96
Ag3 0.0000 0.5000 0.0000  2 Sr 2.96
Sr1 0.0000 0.0000 0.0000  6 Ag 2.96
I1 0.5000 0.5000 0.5000  12 Ag 4.18

***

DFT (GGA-PBE) results for a relaxed Na2Sr6Mg crystal.

- Crystal system: monoclinic
- Calculated volume: 46.98 Å³ per atom
- SG: C2/m, No. 12
- E: -1.573 eV per atom

a = 6.5289 Å, b = 7.6062 Å, c = 9.9766 Å
α = 80.90°, β = 70.90°, γ = 64.59°
With the nearest neighbours (Å) after each atom.
Sites, in units of the cell vectors:
Na1 0.8950 0.2504 0.9595  1 Na 3.51, 4 Sr 3.70-3.85
Na2 0.1050 0.7496 0.0405  1 Na 3.51, 4 Sr 3.70-3.85
Sr1 0.8084 0.9992 0.3840  1 Mg 3.58, 1 Na 3.70, 2 Sr 3.93
Sr2 0.4460 0.3980 0.7100  2 Mg 3.87, 3 Na 3.98-4.14, 4 Sr 4.16-4.34
Sr3 0.3069 0.2153 0.1709  1 Mg 3.70, 3 Na 3.83-3.85, 2 Sr 4.10
Sr4 0.5540 0.6020 0.2900  2 Mg 3.87, 3 Na 3.98-4.14, 4 Sr 4.16-4.34
Sr5 0.1916 0.0008 0.6160  1 Mg 3.58, 1 Na 3.70, 2 Sr 3.93
Sr6 0.6931 0.7847 0.8291  1 Mg 3.70, 3 Na 3.83-3.85, 2 Sr 4.10
Mg1 0.0000 0.5000 0.5000  8 Sr 3.58-3.87

***

DFT (GGA-PBE) results for a relaxed Eu3Sn13Rh4 crystal.

- Crystal system: cubic
- Calculated volume: 23.83 Å³ per atom
- SG: Pm-3n, No. 223
- E: -6.161 eV per atom

a = 9.8417 Å, b = 9.8417 Å, c = 9.8417 Å
α = 90.00°, β = 90.00°, γ = 90.00°
With the nearest neighbours (Å) after each atom.
Sites, in units of the cell vectors:
Sn1 0.3048 0.8465 0.0000  2 Rh 2.69
Sn2 0.1952 0.5000 0.3465  2 Rh 2.69
Sn3 0.3465 0.8048 0.5000  2 Rh 2.69
Sn4 0.5000 0.3465 0.1952  2 Rh 2.69
Sn5 0.0000 0.6952 0.8465  2 Rh 2.69
Sn6 0.6535 0.8048 0.5000  2 Rh 2.69
Sn7 0.8465 0.0000 0.3048  2 Rh 2.69
Sn8 0.5000 0.6535 0.8048  2 Rh 2.69
Sn9 0.8048 0.5000 0.3465  2 Rh 2.69
Sn10 0.5000 0.6535 0.1952  2 Rh 2.69
Sn11 0.1952 0.5000 0.6535  2 Rh 2.69
Sn12 0.0000 0.6952 0.1535  2 Rh 2.69
Sn13 0.1535 0.0000 0.3048  2 Rh 2.69
Sn14 0.0000 0.3048 0.8465  2 Rh 2.69
Sn15 0.3465 0.1952 0.5000  2 Rh 2.69
Sn16 0.5000 0.5000 0.5000  12 Sn 3.36
Sn17 0.8465 0.0000 0.6952  2 Rh 2.69
Sn18 0.0000 0.3048 0.1535  2 Rh 2.69
Sn19 0.6535 0.1952 0.5000  2 Rh 2.69
Sn20 0.3048 0.1535 0.0000  2 Rh 2.69
Sn21 0.0000 0.0000 0.0000  12 Sn 3.36
Sn22 0.1535 0.0000 0.6952  2 Rh 2.69
Sn23 0.6952 0.8465 0.0000  2 Rh 2.69
Sn24 0.5000 0.3465 0.8048  2 Rh 2.69
Sn25 0.6952 0.1535 0.0000  2 Rh 2.69
Sn26 0.8048 0.5000 0.6535  2 Rh 2.69
Rh1 0.2500 0.7500 0.2500  6 Sn 2.69
Rh2 0.2500 0.7500 0.7500  6 Sn 2.69
Rh3 0.7500 0.7500 0.2500  6 Sn 2.69
Rh4 0.7500 0.2500 0.2500  6 Sn 2.69
Rh5 0.2500 0.2500 0.2500  6 Sn 2.69
Rh6 0.7500 0.2500 0.7500  6 Sn 2.69
Rh7 0.7500 0.7500 0.7500  6 Sn 2.69
Rh8 0.2500 0.2500 0.7500  6 Sn 2.69
Eu1 0.5000 0.0000 0.7500  12 Sn 3.45-3.47, 4 Rh 3.48
Eu2 0.0000 0.7500 0.5000  12 Sn 3.45-3.47, 4 Rh 3.48
Eu3 0.5000 0.0000 0.2500  12 Sn 3.45-3.47, 4 Rh 3.48
Eu4 0.2500 0.5000 0.0000  12 Sn 3.45-3.47, 4 Rh 3.48
Eu5 0.7500 0.5000 0.0000  12 Sn 3.45-3.47, 4 Rh 3.48
Eu6 0.0000 0.2500 0.5000  12 Sn 3.45-3.47, 4 Rh 3.48

***

DFT (GGA-PBE) results for a relaxed YEr2Sc6 crystal.

- Crystal system: hexagonal
- Calculated volume: 26.59 Å³ per atom
- SG: P6/mmm, No. 191
- Energy above the lowest structure with this stoichiometry: 0 kJ/mol of formula units

a = 3.3007 Å, b = 9.7263 Å, c = 9.7263 Å
α = 56.10°, β = 70.21°, γ = 70.21°
With the nearest neighbours (Å) after each atom.
Sites, in units of the cell vectors:
Sc1 0.1660 0.0000 0.3342  5 Sc 3.03-3.30
Sc2 0.4996 0.3342 0.6658  5 Sc 3.03-3.30
Sc3 0.1660 0.3342 0.0000  5 Sc 3.03-3.30
Sc4 0.8344 0.0001 0.6657  5 Sc 3.03-3.30
Sc5 0.4996 0.6658 0.3342  5 Sc 3.03-3.30
Sc6 0.8344 0.6657 0.0001  5 Sc 3.03-3.30
Er1 0.3334 0.3333 0.3333  2 Er 3.30, 12 Sc 3.46-3.47
Er2 0.6666 0.6667 0.6667  2 Er 3.30, 12 Sc 3.46-3.47
Y1 0.9999 0.0000 0.0000  2 Y 3.30, 12 Sc 3.47-3.48

***

DFT (GGA-PBE) results for a relaxed Li2UMnCl8 crystal.

- Crystal system: triclinic
- Calculated volume: 25.60 Å³ per atom
- SG: P-1, No. 2
- Raw formation energy: -1.55 eV per atom

a = 6.4108 Å, b = 6.2706 Å, c = 7.7001 Å
α = 89.99°, β = 90.00°, γ = 97.08°
With the nearest neighbours (Å) after each atom.
Sites, in units of the cell vectors:
Mn1 0.0000 0.0000 0.0000  6 Cl 2.46-2.61
Cl1 0.1723 0.7961 0.2470  1 Mn 2.61, 1 U 2.65
Cl2 0.3268 0.2944 0.5000  1 U 2.62, 2 Li 2.66
Cl3 0.6732 0.7056 0.5000  1 U 2.62, 2 Li 2.66
Cl4 0.1725 0.7958 0.7530  1 Mn 2.61, 1 U 2.65
Cl5 0.3043 0.2808 0.0000  2 Li 2.45, 1 Mn 2.46
Cl6 0.6957 0.7192 0.0000  2 Li 2.45, 1 Mn 2.46
Cl7 0.8275 0.2042 0.2470  1 Mn 2.61, 1 U 2.65
Cl8 0.8277 0.2039 0.7530  1 Mn 2.61, 1 U 2.65
Li1 0.5008 0.4991 0.2231  4 Cl 2.45-2.66
Li2 0.4992 0.5009 0.7769  4 Cl 2.45-2.66
U1 0.0000 0.0000 0.5000  6 Cl 2.62-2.65

***

DFT (GGA-PBE) results for a relaxed LaAl2ZnTc crystal.

- Crystal system: tetragonal
- Calculated volume: 22.13 Å³ per atom
- SG: P4/mmm, No. 123
- E: -5.067 eV per atom

a = 4.7540 Å, b = 4.7540 Å, c = 4.8951 Å
α = 90.00°, β = 90.00°, γ = 90.00°
With the nearest neighbours (Å) after each atom.
Sites, in units of the cell vectors:
Tc1 0.0000 0.0000 0.0000  4 Al 2.38, 2 Zn 2.45
Zn1 0.0000 0.0000 0.5000  2 Tc 2.45
La1 0.5000 0.5000 0.5000  4 Zn 3.36, 8 Al 3.41
Al1 0.0000 0.5000 0.0000  2 Tc 2.38
Al2 0.5000 0.0000 0.0000  2 Tc 2.38

***

Q: Which value of calculated volume does entry 4 give?
A: 46.98 Å³ per atom

***

Q: What is the calculated volume in the eighth record?
A: 22.13 Å³ per atom

***

Q: Which formula does entry 1 have?
A: CaNiPd2Pt

***

Q: What is the calculated volume in the second record?
A: 16.67 Å³ per atom